DFT (PBE) results for a geometry-optimized LiTlAgGe structure.

Properties
DOS at the Fermi energy in states/eV/cell: 5.92
Energy of formation from the pure elements in meV per atom: 7
Volume in Å³/atom: 19.97
Magnetization in μB/f.u.: 0.00

a b c (Å): 6.836 6.836 6.836
angles (deg): 90.00 90.00 90.00
Element x y z (fractional)
Li (0.000, 0.000, 0.000)
Li (0.000, 0.500, 0.500)
Li (0.500, 0.000, 0.500)
Li (0.500, 0.500, 0.000)
Tl (0.250, 0.250, 0.250)
Tl (0.250, 0.750, 0.750)
Tl (0.750, 0.250, 0.750)
Tl (0.750, 0.750, 0.250)
Ag (0.000, 0.000, 0.500)
Ag (0.000, 0.500, 0.000)
Ag (0.500, 0.000, 0.000)
Ag (0.500, 0.500, 0.500)
Ge (0.250, 0.250, 0.750)
Ge (0.250, 0.750, 0.250)
Ge (0.750, 0.250, 0.250)
Ge (0.750, 0.750, 0.750)

***

DFT (PBE) results for a geometry-optimized LiAgGeW2 structure.

Properties
DOS at the Fermi energy in states/eV/cell: 7.08
Energy of formation from the pure elements in meV per atom: 1538
Volume in Å³/atom: 21.39
Magnetization in μB/f.u.: 0.00

a b c (Å): 4.690 4.690 4.862
angles (deg): 90.00 90.00 90.00
Element x y z (fractional)
Li (0.000, 0.000, 0.000)
Ag (0.500, 0.500, 0.000)
Ge (0.500, 0.500, 0.500)
W (0.000, 0.500, 0.500)
W (0.500, 0.000, 0.500)

***

DFT (PBE) results for a geometry-optimized LiAgGe2W structure.

Properties
DOS at the Fermi energy in states/eV/cell: 2.02
Energy of formation from the pure elements in meV per atom: 549
Volume in Å³/atom: 24.98
Magnetization in μB/f.u.: 0.00

a b c (Å): 4.850 4.850 5.311
angles (deg): 90.00 90.00 90.00
Element x y z (fractional)
Li (0.000, 0.000, 0.000)
Ag (0.500, 0.500, 0.000)
Ge (0.000, 0.500, 0.500)
Ge (0.500, 0.000, 0.500)
W (0.500, 0.500, 0.500)

***

DFT (PBE) results for a geometry-optimized LiYAgGe structure.

Properties
DOS at the Fermi energy in states/eV/cell: 7.55
Energy of formation from the pure elements in meV per atom: -452
Volume in Å³/atom: 20.10
Magnetization in μB/f.u.: 0.00

a b c (Å): 6.851 6.851 6.851
angles (deg): 90.00 90.00 90.00
Element x y z (fractional)
Li (0.000, 0.000, 0.000)
Li (0.000, 0.500, 0.500)
Li (0.500, 0.000, 0.500)
Li (0.500, 0.500, 0.000)
Y (0.000, 0.000, 0.500)
Y (0.000, 0.500, 0.000)
Y (0.500, 0.000, 0.000)
Y (0.500, 0.500, 0.500)
Ag (0.250, 0.250, 0.250)
Ag (0.250, 0.750, 0.750)
Ag (0.750, 0.250, 0.750)
Ag (0.750, 0.750, 0.250)
Ge (0.250, 0.250, 0.750)
Ge (0.250, 0.750, 0.250)
Ge (0.750, 0.250, 0.250)
Ge (0.750, 0.750, 0.750)

***

DFT (PBE) results for a geometry-optimized Li2Zn2Ag2Ge structure.

Properties
DOS at the Fermi energy in states/eV/cell: 2.85
Energy of formation from the pure elements in meV per atom: -158
Volume in Å³/atom: 15.85
Magnetization in μB/f.u.: 0.00

a b c (Å): 7.817 4.466 6.824
angles (deg): 90.00 111.32 90.00
Element x y z (fractional)
Li (0.076, 0.000, 0.225)
Li (0.424, 0.500, 0.775)
Li (0.576, 0.500, 0.225)
Li (0.924, 0.000, 0.775)
Zn (0.141, 0.500, 0.927)
Zn (0.359, 0.000, 0.073)
Zn (0.641, 0.000, 0.927)
Zn (0.859, 0.500, 0.073)
Ag (0.218, 0.000, 0.658)
Ag (0.282, 0.500, 0.342)
Ag (0.718, 0.500, 0.658)
Ag (0.782, 0.000, 0.342)
Ge (0.000, 0.500, 0.500)
Ge (0.500, 0.000, 0.500)

***

DFT (PBE) results for a geometry-optimized LuAg2Ge structure.

Properties
E above lowest polymorph in eV/atom: 0.5428
DOS at the Fermi energy in states/eV/cell: 5.88
Energy of formation from the pure elements in meV per atom: 268
Volume in Å³/atom: 21.32
Magnetization in μB/f.u.: 0.00

a b c (Å): 3.068 3.068 31.395
angles (deg): 90.00 90.00 120.00
Element x y z (fractional)
Lu (0.000, 0.000, 0.000)
Lu (0.333, 0.667, 0.667)
Lu (0.667, 0.333, 0.333)
Ag (0.000, 0.000, 0.092)
Ag (0.000, 0.000, 0.908)
Ag (0.333, 0.667, 0.575)
Ag (0.333, 0.667, 0.758)
Ag (0.667, 0.333, 0.242)
Ag (0.667, 0.333, 0.425)
Ge (0.000, 0.000, 0.500)
Ge (0.333, 0.667, 0.167)
Ge (0.667, 0.333, 0.833)

***

DFT (PBE) results for a geometry-optimized LuAgGe structure.

Properties
DOS at the Fermi energy in states/eV/cell: 3.34
Energy of formation from the pure elements in meV per atom: -230
Volume in Å³/atom: 20.70
Magnetization in μB/f.u.: 0.00

a b c (Å): 3.406 3.406 10.706
angles (deg): 90.00 90.00 90.00
Element x y z (fractional)
Lu (0.000, 0.000, 0.000)
Lu (0.500, 0.500, 0.500)
Ag (0.000, 0.000, 0.323)
Ag (0.500, 0.500, 0.823)
Ge (0.000, 0.000, 0.673)
Ge (0.500, 0.500, 0.173)

***

DFT (PBE) results for a geometry-optimized LuAgGe2 structure.

Properties
DOS at the Fermi energy in states/eV/cell: 4.09
Energy of formation from the pure elements in meV per atom: -234
Volume in Å³/atom: 20.25
Magnetization in μB/f.u.: 0.00

a b c (Å): 4.358 4.358 14.776
angles (deg): 90.00 90.00 120.00
Element x y z (fractional)
Lu (0.000, 0.000, 0.000)
Lu (0.333, 0.667, 0.667)
Lu (0.667, 0.333, 0.333)
Ag (0.000, 0.000, 0.500)
Ag (0.333, 0.667, 0.167)
Ag (0.667, 0.333, 0.833)
Ge (0.000, 0.000, 0.237)
Ge (0.000, 0.000, 0.763)
Ge (0.333, 0.667, 0.430)
Ge (0.333, 0.667, 0.903)
Ge (0.667, 0.333, 0.097)
Ge (0.667, 0.333, 0.570)